Computed, not measured: a relaxed Ba3TbTm3Se8 crystal at the GGA-PBE level of DFT.

a = 8.3562 Å, b = 8.3562 Å, c = 22.5451 Å
α = 90.00°, β = 90.00°, γ = 120.00°
Space group R-3m (No. 166, hexagonal axes)
Unique sites:
Ba1 0.0000 0.5000 0.0000 (multiplicity 9)
Tb1 0.0000 0.0000 0.5000 (multiplicity 3)
Tm1 0.0000 0.5000 0.5000 (multiplicity 9)
Se1 0.0000 0.0000 0.2362 (multiplicity 6)
Se2 0.0068 0.5034 0.7634 (multiplicity 18)

Computed, not measured: a relaxed Ba2TbUSe6 crystal at the GGA-PBE level of DFT.

a = 7.4644 Å, b = 7.8647 Å, c = 13.1405 Å
α = 90.00°, β = 124.60°, γ = 90.00°
Space group P2_1/c (No. 14)
Unique sites:
Ba1 0.2287 0.0728 0.2505 (multiplicity 4)
Tb1 0.5000 0.0000 0.0000 (multiplicity 2)
U1 0.0000 0.0000 0.5000 (multiplicity 2)
Se1 0.1447 0.2051 0.9532 (multiplicity 4)
Se2 0.2525 0.6952 0.9543 (multiplicity 4)
Se3 0.3340 0.0176 0.7453 (multiplicity 4)

Number 1: uncorrected formation energy -2757 kJ/mol of formula units. Number 2: uncorrected formation energy -1653 kJ/mol of formula units.